Entry 1:
Here is RbAgPS2 at its PBEsol-relaxed geometry from the Alexandria database. Energies are from SCAN.

SG ... No. 123
Formation energy (no corrections) ... 0.250 eV/atom

Lattice parameters (Å, degrees): 5.024 5.024 4.683 90.00 90.00 90.00
Element x y z (fractional)
Rb (0.000, 0.000, 0.000)
Ag (0.500, 0.500, 0.500)
P (0.500, 0.500, 0.000)
S (0.000, 0.500, 0.500)
S (0.500, 0.000, 0.500)



Entry 2:
Here is Re2AgP at its PBEsol-relaxed geometry from the Alexandria database. Energies are from SCAN.

SG ... No. 65
Formation energy ... 541 meV/atom

Lattice parameters (Å, degrees): 2.773 2.773 8.604 90.00 90.00 117.11
Element x y z (fractional)
Re (0.000, 0.000, 0.214)
Re (0.000, 0.000, 0.786)
Ag (0.500, 0.500, 0.500)
P (0.500, 0.500, 0.000)



Entry 3:
Here is Re2AgP at its PBEsol-relaxed geometry from the Alexandria database. Energies are from SCAN.

SG ... No. 35
Formation energy ... 496 meV/atom

Lattice parameters (Å, degrees): 2.737 2.737 9.125 90.00 90.00 116.56
Element x y z (fractional)
Re (0.000, 0.000, 0.000)
Re (0.500, 0.500, 0.239)
Ag (0.000, 0.000, 0.510)
P (0.500, 0.500, 0.783)



Entry 4:
Here is AgPRh at its PBEsol-relaxed geometry from the Alexandria database. Energies are from SCAN.

Distance to the lowest polymorph of the same formula ... 0.0 meV/atom
SG ... No. 107
Formation energy ... -201 meV/atom

Lattice parameters (Å, degrees): 5.288 5.288 5.288 146.77 146.77 47.71
Element x y z (fractional)
Ag (0.000, 0.000, 0.000)
P (0.694, 0.694, 0.000)
Rh (0.297, 0.297, 0.000)



Entry 5:
Here is AgP4Rh at its PBEsol-relaxed geometry from the Alexandria database. Energies are from SCAN.

SG ... No. 216
Formation energy ... 779 meV/atom

Lattice parameters (Å, degrees): 4.992 4.992 4.992 60.00 60.00 60.00
Element x y z (fractional)
Ag (0.000, 0.000, 0.000)
P (0.109, 0.630, 0.630)
P (0.630, 0.109, 0.630)
P (0.630, 0.630, 0.109)
P (0.630, 0.630, 0.630)
Rh (0.250, 0.250, 0.250)



Entry 6:
Here is AgPRh at its PBEsol-relaxed geometry from the Alexandria database. Energies are from SCAN.

Distance to the lowest polymorph of the same formula ... 125.0 meV/atom
SG ... No. 156
Formation energy ... -76 meV/atom

Lattice parameters (Å, degrees): 2.896 2.896 6.206 90.00 90.00 120.00
Element x y z (fractional)
Ag (0.000, 0.000, 0.000)
P (0.333, 0.667, 0.629)
Rh (0.667, 0.333, 0.376)



Entry 7:
Here is AgP2Rh at its PBEsol-relaxed geometry from the Alexandria database. Energies are from SCAN.

Distance to the lowest polymorph of the same formula ... 15.9 meV/atom
SG ... No. 119
Formation energy ... 314 meV/atom

Lattice parameters (Å, degrees): 4.889 4.889 4.889 135.40 135.40 64.91
Element x y z (fractional)
Ag (0.000, 0.000, 0.000)
P (0.500, 0.500, 0.000)
P (0.750, 0.250, 0.500)
Rh (0.250, 0.750, 0.500)



Entry 8:
Here is AgP2Rh at its PBEsol-relaxed geometry from the Alexandria database. Energies are from SCAN.

Distance to the lowest polymorph of the same formula ... 0.0 meV/atom
SG ... No. 123
Formation energy ... 298 meV/atom

Lattice parameters (Å, degrees): 4.245 4.245 3.181 90.00 90.00 90.00
Element x y z (fractional)
Ag (0.000, 0.000, 0.000)
P (0.000, 0.500, 0.500)
P (0.500, 0.000, 0.500)
Rh (0.500, 0.500, 0.000)



We obtain Fermi-level density of states values of 3.86 2.03 3.00 1.15 2.96 2.25 1.56 2.32 states/eV/f.u. for the records listed above, in that order.